This record from the Alexandria database describes a geometry-optimized LiAgPt2 structure. The functional is PBE-GGA.

Unit cell a=3.853 b=3.853 c=8.375 alpha=90.00 beta=90.00 gamma=90.00
Space group I4/mmm (No. 139)
Unique sites:
Li  0.000  0.000  0.000
Ag  0.000  0.000  0.500
Pt  0.000  0.500  0.250

Values from the calculation:
The calculation puts the energy above the most stable polymorph in this dataset at 0.0993 eV per atom. For the energy of formation, the calculation gives -0.247 eV/atom. The magnetic moment comes out at 0.0 μB/f.u.

=====

This record from the Alexandria database describes a geometry-optimized Ni2POs structure. The functional is PBE-GGA.

Unit cell a=2.775 b=3.781 c=4.812 alpha=90.00 beta=106.67 gamma=90.00
Space group P2/m (No. 10)
Unique sites:
Ni  0.142  0.000  0.269
P  0.500  0.500  0.500
Os  0.500  0.500  0.000

Values from the calculation:
The calculation puts the energy above the most stable polymorph in this dataset at 0.1127 eV per atom. For the energy of formation, the calculation gives 0.017 eV/atom. The magnetic moment comes out at 0.0 μB/f.u.